w.
Here is crystalline NaLaSi3 at its relaxed geometry from the Alexandria database. Energies are from GGA-PBE.

Properties
calculated volume = 117.0 Å³/f.u.
magnetic moment = 0.00 μB per cell

abc: 4.892 4.892 4.892
angles: 90.00 90.00 90.00
Space group Pm-3m (No. 221)
One atom of each set of equivalent atoms:
Na: 0.000 0.000 0.000
La: 0.500 0.500 0.500
Si: 0.000 0.000 0.500

x.
Here is crystalline NaLaSi3 at its relaxed geometry from the Alexandria database. Energies are from GGA-PBE.

Properties
calculated volume = 176.9 Å³/f.u.
magnetic moment = 0.00 μB per cell

abc: 5.614 5.614 5.614
angles: 90.00 90.00 90.00
Space group Pm-3m (No. 221)
One atom of each set of equivalent atoms:
Na: 0.000 0.000 0.000
La: 0.500 0.500 0.500
Si: 0.000 0.500 0.500

y.
Here is crystalline NaLaSi3 at its relaxed geometry from the Alexandria database. Energies are from GGA-PBE.

Properties
calculated volume = 111.8 Å³/f.u.
magnetic moment = 0.00 μB per cell

abc: 4.497 25.163 3.953
angles: 90.00 90.00 90.00
Space group Cmcm (No. 63)
One atom of each set of equivalent atoms:
Na: 0.000 0.207 0.250
La: 0.000 0.071 0.750
Si: 0.000 0.330 0.250
Si: 0.000 0.381 0.750
Si: 0.000 0.475 0.750

Relative energy table, unit kJ/mol of atoms: w 98.9; x 131.2; y 0.0

w.
Here is crystalline NaLaSm2 at its relaxed geometry from the Alexandria database. Energies are from GGA-PBE.

Properties
calculated volume = 144.8 Å³/f.u.
magnetic moment = 0.00 μB per cell

abc: 3.5886 3.5886 38.9415
angles: 90.00 90.00 120.00
Space group R-3m (No. 166, hexagonal axes)
One atom of each set of equivalent atoms:
Na: 0.0000 0.0000 0.0000
La: 0.0000 0.0000 0.5000
Sm: 0.0000 0.0000 0.0912

x.
Here is crystalline NaLaSm2 at its relaxed geometry from the Alexandria database. Energies are from GGA-PBE.

Properties
calculated volume = 141.1 Å³/f.u.
magnetic moment = 0.01 μB per cell

abc: 3.6233 3.6233 37.2427
angles: 90.00 90.00 120.00
Space group R3m (No. 160, hexagonal axes)
One atom of each set of equivalent atoms:
Na: 0.0000 0.0000 0.0000
La: 0.0000 0.0000 0.8333
Sm: 0.0000 0.0000 0.4186
Sm: 0.0000 0.0000 0.5814

Relative energy table, unit kJ/mol of atoms: w 2.4; x 0.0

w.
Here is crystalline NaLa2Sn2 at its relaxed geometry from the Alexandria database. Energies are from GGA-PBE.

Properties
calculated volume = 184.1 Å³/f.u.
magnetic moment = 0.00 μB per cell

abc: 5.166 5.166 13.794
angles: 90.00 90.00 90.00
Space group I4/mmm (No. 139)
One atom of each set of equivalent atoms:
Na: 0.000 0.000 0.000
La: 0.000 0.500 0.250
Sn: 0.000 0.000 0.397

x.
Here is crystalline NaLa2Sn2 at its relaxed geometry from the Alexandria database. Energies are from GGA-PBE.

Properties
calculated volume = 160.0 Å³/f.u.
magnetic moment = 1.62 μB per cell

abc: 8.331 8.331 4.612
angles: 90.00 90.00 90.00
Space group P4/mbm (No. 127)
One atom of each set of equivalent atoms:
Na: 0.000 0.000 0.000
La: 0.174 0.326 0.500
Sn: 0.125 0.625 0.000

Relative energy table, unit kJ/mol of atoms: w 40.7; x 0.0

w.
Here is crystalline NaLaTlSn at its relaxed geometry from the Alexandria database. Energies are from GGA-PBE.

Properties
calculated volume = 116.6 Å³/f.u.
magnetic moment = 0.00 μB per cell

abc: 7.756 7.756 7.756
angles: 90.00 90.00 90.00
Space group F-43m (No. 216)
One atom of each set of equivalent atoms:
Na: 0.000 0.000 0.000
La: 0.000 0.000 0.500
Tl: 0.250 0.250 0.750
Sn: 0.250 0.250 0.250

x.
Here is crystalline NaLaTlSn at its relaxed geometry from the Alexandria database. Energies are from GGA-PBE.

Properties
calculated volume = 117.1 Å³/f.u.
magnetic moment = 0.00 μB per cell

abc: 4.469 4.959 5.285
angles: 90.00 90.00 90.00
Space group Pmmm (No. 47)
One atom of each set of equivalent atoms:
Na: 0.000 0.000 0.000
La: 0.000 0.500 0.500
Tl: 0.500 0.500 0.000
Sn: 0.500 0.000 0.500

Relative energy table, unit kJ/mol of atoms: w 2.6; x 0.0

w.
Here is crystalline NaSr3La at its relaxed geometry from the Alexandria database. Energies are from GGA-PBE.

Properties
calculated volume = 252.0 Å³/f.u.
magnetic moment = 1.82 μB per cell

abc: 6.316 6.316 6.316
angles: 90.00 90.00 90.00
Space group Pm-3m (No. 221)
One atom of each set of equivalent atoms:
Na: 0.000 0.000 0.000
Sr: 0.000 0.000 0.500
La: 0.500 0.500 0.500

x.
Here is crystalline NaSr3La at its relaxed geometry from the Alexandria database. Energies are from GGA-PBE.

Properties
calculated volume = 301.8 Å³/f.u.
magnetic moment = 2.05 μB per cell

abc: 6.708 6.708 6.708
angles: 90.00 90.00 90.00
Space group Pm-3m (No. 221)
One atom of each set of equivalent atoms:
Na: 0.000 0.000 0.000
Sr: 0.000 0.500 0.500
La: 0.500 0.500 0.500

Relative energy table, unit kJ/mol of atoms: w 0.0; x 17.8

w.
Here is crystalline Na2SrLa at its relaxed geometry from the Alexandria database. Energies are from GGA-PBE.

Properties
calculated volume = 169.0 Å³/f.u.
magnetic moment = 0.02 μB per cell

abc: 3.7570 3.7570 41.4689
angles: 90.00 90.00 120.00
Space group R-3m (No. 166, hexagonal axes)
One atom of each set of equivalent atoms:
Na: 0.0000 0.0000 0.0860
Sr: 0.0000 0.0000 0.5000
La: 0.0000 0.0000 0.0000

x.
Here is crystalline Na2SrLa at its relaxed geometry from the Alexandria database. Energies are from GGA-PBE.

Properties
calculated volume = 162.3 Å³/f.u.
magnetic moment = 0.00 μB per cell

abc: 8.659 8.659 8.659
angles: 90.00 90.00 90.00
Space group Fm-3m (No. 225)
One atom of each set of equivalent atoms:
Na: 0.250 0.250 0.250
Sr: 0.000 0.000 0.000
La: 0.000 0.000 0.500

y.
Here is crystalline Na2SrLa at its relaxed geometry from the Alexandria database. Energies are from GGA-PBE.

Properties
calculated volume = 161.6 Å³/f.u.
magnetic moment = 0.02 μB per cell

abc: 6.359 6.359 3.996
angles: 90.00 90.00 90.00
Space group P4/mmm (No. 123)
One atom of each set of equivalent atoms:
Na: 0.000 0.500 0.000
Sr: 0.000 0.000 0.500
La: 0.500 0.500 0.500

z.
Here is crystalline Na2SrLa at its relaxed geometry from the Alexandria database. Energies are from GGA-PBE.

Properties
calculated volume = 163.1 Å³/f.u.
magnetic moment = 0.57 μB per cell

abc: 4.325 4.325 8.718
angles: 90.00 90.00 90.00
Space group P4/mmm (No. 123)
One atom of each set of equivalent atoms:
Na: 0.000 0.000 0.237
Sr: 0.500 0.500 0.500
La: 0.500 0.500 0.000

Relative energy table, unit kJ/mol of atoms: w 4.6; x 3.4; y 1.4; z 0.0

w.
Here is crystalline NaSrLa at its relaxed geometry from the Alexandria database. Energies are from GGA-PBE.

Properties
calculated volume = 126.7 Å³/f.u.
magnetic moment = 0.00 μB per cell

abc: 3.834 3.834 17.247
angles: 90.00 90.00 90.00
Space group I4mm (No. 107)
One atom of each set of equivalent atoms:
Na: 0.000 0.000 0.000
Sr: 0.000 0.000 0.329
La: 0.000 0.000 0.657

x.
Here is crystalline NaSrLa at its relaxed geometry from the Alexandria database. Energies are from GGA-PBE.

Properties
calculated volume = 128.4 Å³/f.u.
magnetic moment = 0.00 μB per cell

abc: 4.103 6.560 9.858
angles: 104.53 90.52 90.07
Space group P-1 (No. 2)
One atom of each set of equivalent atoms:
Na: 0.247 0.220 0.472
Sr: 0.246 0.562 0.182
La: 0.261 0.957 0.870

Relative energy table, unit kJ/mol of atoms: w 1.6; x 0.0

w.
Here is crystalline Na2SrLaZr at its relaxed geometry from the Alexandria database. Energies are from GGA-PBE.

Properties
calculated volume = 183.4 Å³/f.u.
magnetic moment = 1.89 μB per cell

abc: 5.613 5.613 5.822
angles: 90.00 90.00 90.00
Space group P4/mmm (No. 123)
One atom of each set of equivalent atoms:
Na: 0.000 0.500 0.000
Sr: 0.000 0.000 0.000
La: 0.500 0.500 0.500
Zr: 0.000 0.000 0.500

x.
Here is crystalline Na2SrLaZr at its relaxed geometry from the Alexandria database. Energies are from GGA-PBE.

Properties
calculated volume = 190.8 Å³/f.u.
magnetic moment = 1.62 μB per cell

abc: 5.716 5.716 5.839
angles: 90.00 90.00 90.00
Space group P4/mmm (No. 123)
One atom of each set of equivalent atoms:
Na: 0.000 0.500 0.000
Sr: 0.000 0.000 0.500
La: 0.500 0.500 0.500
Zr: 0.000 0.000 0.000

Relative energy table, unit kJ/mol of atoms: w 0.0; x 1.7